Material: NaSrPtAu
Method: DFT, GGA-PBE
State: optimized geometry

a = 7.243 Å, b = 7.243 Å, c = 7.243 Å
α = 90.00°, β = 90.00°, γ = 90.00°
Positions (direct):
Na  0.000  0.000  0.000
Na  0.000  0.500  0.500
Na  0.500  0.000  0.500
Na  0.500  0.500  0.000
Sr  0.000  0.000  0.500
Sr  0.000  0.500  0.000
Sr  0.500  0.000  0.000
Sr  0.500  0.500  0.500
Pt  0.250  0.250  0.250
Pt  0.250  0.750  0.750
Pt  0.750  0.250  0.750
Pt  0.750  0.750  0.250
Au  0.250  0.250  0.750
Au  0.250  0.750  0.250
Au  0.750  0.250  0.250
Au  0.750  0.750  0.750

Properties
Energy relative to the elements (eV per atom): -0.458

Material: NaPb3
Method: DFT, GGA-PBE
State: optimized geometry

a = 4.918 Å, b = 4.918 Å, c = 9.912 Å
α = 90.00°, β = 90.00°, γ = 90.00°
Positions (direct):
Na  0.000  0.000  0.000
Na  0.500  0.500  0.500
Pb  0.000  0.000  0.500
Pb  0.000  0.500  0.250
Pb  0.000  0.500  0.750
Pb  0.500  0.000  0.250
Pb  0.500  0.000  0.750
Pb  0.500  0.500  0.000

Properties
Energy relative to the elements (eV per atom): -0.114